# Cd2CuRu

Crystalline Cd2CuRu at its relaxed geometry (PBE, the Alexandria database).

Results
Formation energy from the elements: 0.24 eV/atom
Volume: 16.782 Å³/atom
Symmetry: Cmmm
D(E_F): 2.07 states/eV/cell

POSCAR file:
```
Cd2CuRu
1.0
6.539 -0.006 -0.019
-2.599 4.120 0.010
1.341 0.838 2.490
Cd Cu Ru
2 1 1
direct
0.000 0.000 0.000 Cd
0.500 0.000 0.500 Cd
0.000 0.500 0.500 Cu
0.500 0.500 0.000 Ru
```

# ScTiIr3

Crystalline ScTiIr3 at its relaxed geometry (PBE, the Alexandria database).

Results
Formation energy from the elements: 0.33 eV/atom
Volume: 19.178 Å³/atom
Symmetry: Pm-3m
D(E_F): 1.96 states/eV/cell

POSCAR file:
```
ScTiIr3
1.0
-4.500 -0.672 -0.503
0.808 -4.213 -1.598
-0.229 -1.659 4.260
Ir Ti Sc
3 1 1
direct
0.000 0.000 0.500 Ir
0.500 0.000 0.000 Ir
0.000 0.500 0.000 Ir
0.000 0.000 0.000 Ti
0.500 0.500 0.500 Sc
```

# Pm6Pt3Rh

Crystalline Pm6Pt3Rh at its relaxed geometry (PBE, the Alexandria database).

Results
Formation energy from the elements: -0.84 eV/atom
Volume: 28.039 Å³/atom
Symmetry: P2_1/c
D(E_F): 10.04 states/eV/cell

POSCAR file:
```
Pm6Pt3Rh
1.0
6.951 0.000 -0.005
0.000 7.618 0.000
0.078 0.000 10.590
Pm Pt Rh
12 6 2
direct
0.163 0.056 0.753 Pm
0.832 0.681 0.919 Pm
0.663 0.444 0.253 Pm
0.837 0.944 0.247 Pm
0.676 0.176 0.922 Pm
0.668 0.181 0.581 Pm
0.324 0.824 0.078 Pm
0.176 0.324 0.422 Pm
0.824 0.676 0.578 Pm
0.337 0.556 0.747 Pm
0.332 0.819 0.419 Pm
0.168 0.319 0.081 Pm
0.500 0.500 0.000 Pt
0.052 0.612 0.252 Pt
0.552 0.888 0.752 Pt
0.948 0.388 0.748 Pt
0.448 0.112 0.248 Pt
0.000 0.000 0.500 Pt
0.500 0.500 0.500 Rh
0.000 0.000 0.000 Rh
```

# CrAg2Cl

Crystalline CrAg2Cl at its relaxed geometry (PBE, the Alexandria database).

Results
Energy relative to the elements, uncorrected: 128.1 meV/atom
Volume: 18.119 Å³/atom
Symmetry: R3m
D(E_F): 3.45 states/eV/cell

POSCAR file:
```
CrAg2Cl
1.0
-2.230 -8.108 4.644
0.078 -7.243 6.311
-2.642 -6.175 6.868
Cl Ag Cr
1 2 1
direct
0.473 0.473 0.473 Cl
0.261 0.261 0.261 Ag
0.011 0.011 0.011 Ag
0.755 0.755 0.755 Cr
```

# Tb5Cd6Ag

Crystalline Tb5Cd6Ag at its relaxed geometry (PBE, the Alexandria database).

Results
Formation energy from the elements: -0.27 eV/atom
Volume: 25.289 Å³/atom
Symmetry: Immm
D(E_F): 11.04 states/eV/cell

POSCAR file:
```
Tb5Cd6Ag
1.0
4.952 0.004 -1.524
-0.823 6.968 -2.655
0.066 -0.592 9.022
Cd Tb Ag
6 5 1
direct
0.843 0.077 0.685 Cd
0.500 0.768 0.000 Cd
0.157 0.392 0.315 Cd
0.843 0.608 0.685 Cd
0.500 0.232 0.000 Cd
0.157 0.923 0.315 Cd
0.333 0.333 0.667 Tb
0.330 0.830 0.660 Tb
0.667 0.667 0.333 Tb
0.670 0.170 0.340 Tb
0.000 0.500 0.000 Tb
0.000 0.000 0.000 Ag
```

# Al6CuW2

Crystalline Al6CuW2 at its relaxed geometry (PBE, the Alexandria database).

Results
Formation energy from the elements: -0.03 eV/atom
Volume: 15.091 Å³/atom
Symmetry: C2/m
D(E_F): 1.61 states/eV/cell

POSCAR file:
```
Al6CuW2
1.0
-2.859 -3.204 -0.942
3.500 -2.172 -3.230
1.850 -0.551 6.517
Al W Cu
6 2 1
direct
0.398 0.819 0.795 Al
0.602 0.181 0.205 Al
0.165 0.487 0.330 Al
0.835 0.513 0.670 Al
0.709 0.838 0.417 Al
0.291 0.162 0.583 Al
0.062 0.848 0.125 W
0.938 0.152 0.875 W
0.500 0.500 0.000 Cu
```

# Rb4La3TbS8

Crystalline Rb4La3TbS8 at its relaxed geometry (PBE, the Alexandria database).

Results
Energy relative to the elements, uncorrected: -1882.5 meV/atom
Volume: 30.347 Å³/atom
Symmetry: R-3m
D(E_F): 0.00 states/eV/cell

POSCAR file:
```
Rb4La3TbS8
1.0
-1.630 4.517 -7.058
-8.959 -1.291 1.243
4.447 3.513 6.384
S La Rb Tb
8 3 4 1
direct
0.773 0.305 0.032 S
0.227 0.695 0.968 S
0.773 0.305 0.546 S
0.742 0.695 0.968 S
0.733 0.699 0.466 S
0.227 0.695 0.454 S
0.267 0.301 0.534 S
0.258 0.305 0.032 S
0.000 0.500 0.500 La
0.500 0.500 0.000 La
0.500 0.500 0.500 La
0.000 0.000 0.000 Rb
0.000 0.000 0.500 Rb
0.500 0.000 0.500 Rb
0.500 0.000 0.000 Rb
0.000 0.500 0.000 Tb
```

# HfBe2Ni2

Crystalline HfBe2Ni2 at its relaxed geometry (PBE, the Alexandria database).

Results
Formation energy from the elements: -0.30 eV/atom
Volume: 11.997 Å³/atom
Symmetry: I4/mmm
D(E_F): 3.94 states/eV/cell

POSCAR file:
```
HfBe2Ni2
1.0
3.670 0.000 0.000
0.000 3.670 0.000
1.835 1.835 4.454
Ni Be Hf
2 2 1
direct
0.628 0.628 0.744 Ni
0.372 0.372 0.256 Ni
0.250 0.750 0.500 Be
0.750 0.250 0.500 Be
0.000 0.000 0.000 Hf
```

# ZrSc2Pd

Crystalline ZrSc2Pd at its relaxed geometry (PBE, the Alexandria database).

Results
Formation energy from the elements: -0.07 eV/atom
Volume: 21.483 Å³/atom
Symmetry: R-3m
D(E_F): 3.57 states/eV/cell

POSCAR file:
```
ZrSc2Pd
1.0
1.790 0.000 10.324
-0.895 1.550 10.324
-0.895 -1.550 10.324
Sc Zr Pd
2 1 1
direct
0.097 0.097 0.097 Sc
0.903 0.903 0.903 Sc
0.000 0.000 0.000 Zr
0.500 0.500 0.500 Pd
```

# CeSmIn4

Crystalline CeSmIn4 at its relaxed geometry (PBE, the Alexandria database).

Results
Formation energy from the elements: -0.35 eV/atom
Volume: 26.437 Å³/atom
Symmetry: F-43m
D(E_F): 8.93 states/eV/cell

POSCAR file:
```
CeSmIn4
1.0
6.076 0.000 0.000
3.038 5.262 0.000
3.038 1.754 4.961
In Ce Sm
4 1 1
direct
0.625 0.625 0.125 In
0.625 0.625 0.625 In
0.625 0.125 0.625 In
0.125 0.625 0.625 In
0.000 0.000 0.000 Ce
0.250 0.250 0.250 Sm
```

# CaTmSn

Crystalline CaTmSn at its relaxed geometry (PBE, the Alexandria database).

Results
Formation energy from the elements: -0.40 eV/atom
Volume: 29.816 Å³/atom
Symmetry: I4mm
D(E_F): 2.34 states/eV/cell

POSCAR file:
```
CaTmSn
1.0
3.547 0.000 0.000
0.000 3.547 0.000
-1.773 -1.773 7.110
Sn Tm Ca
1 1 1
direct
0.945 0.945 0.891 Sn
0.304 0.304 0.608 Tm
0.600 0.600 0.201 Ca
```

# PmY4Pd4

Crystalline PmY4Pd4 at its relaxed geometry (PBE, the Alexandria database).

Results
Formation energy from the elements: -0.65 eV/atom
Volume: 26.473 Å³/atom
Symmetry: P4_2/n
D(E_F): 16.70 states/eV/cell

POSCAR file:
```
PmY4Pd4
1.0
-0.759 2.796 -5.060
4.813 -6.370 -4.242
-7.562 -4.729 -1.478
Y Pm Pd
8 2 8
direct
0.412 0.678 0.093 Y
0.588 0.907 0.678 Y
0.912 0.407 0.178 Y
0.912 0.593 0.822 Y
0.412 0.322 0.907 Y
0.088 0.178 0.593 Y
0.588 0.093 0.322 Y
0.088 0.822 0.407 Y
0.000 0.000 0.000 Pm
0.500 0.500 0.500 Pm
0.408 0.627 0.785 Pd
0.592 0.785 0.373 Pd
0.408 0.373 0.215 Pd
0.908 0.715 0.127 Pd
0.592 0.215 0.627 Pd
0.908 0.285 0.873 Pd
0.092 0.873 0.715 Pd
0.092 0.127 0.285 Pd
```